Pu2FeRh | Alexandria via LeMat-Bulk | PBE | optimized geometry; magnetization = 2.077 μB/atom; space-group type = P4/mmm; formation energy from the elements = -164 meV/atom
1.0
-3.175 -0.780 0.906
1.644 -3.629 2.636
0.363 2.906 3.774
Rh Fe Pu
1 1 2
Direct
0.500 0.000 0.000
0.500 0.500 0.500
0.000 0.000 0.500
0.000 0.500 0.000